(1)
DFT (PBEsol) results for crystalline ReSi2Pb at its relaxed geometry.

Computed properties:
The crystal system is orthorhombic. The mass density comes out at 9.83 g cm⁻³. For the uncorrected formation energy, the calculation gives 0.692 eV per atom. As for the electronic total energy: -52.11 eV/cell.

a = 2.9345 Å, b = 5.5884 Å, c = 9.2635 Å
α = 90.00°, β = 90.00°, γ = 90.00°
With the nearest neighbours (Å) after each atom.
Space group Immm (No. 71)
Inequivalent atoms, fractional coordinates:
Re  0.0000  0.0000  0.0000 [2 per cell]  4 Si 2.44
Si  0.0000  0.5000  0.2899 [4 per cell]  2 Re 2.44
Pb  0.0000  0.0000  0.5000 [2 per cell]  2 Pb 2.93, 4 Si 3.06, 4 Re 3.16


(2)
DFT (PBEsol) results for crystalline MgTl at its relaxed geometry.

Computed properties:
The crystal system is orthorhombic. The mass density comes out at 7.85 g cm⁻³. Its calculated formation energy is -0.05 eV/atom. As for the electronic total energy: -53.40 eV/cell.

a = 10.2430 Å, b = 8.9958 Å, c = 6.2976 Å
α = 90.00°, β = 90.00°, γ = 90.00°
With the nearest neighbours (Å) after each atom.
Space group Pbcm (No. 57)
Inequivalent atoms, fractional coordinates:
Mg  0.1172  0.2500  0.0000 [4 per cell]  6 Tl 3.11-3.20, 4 Mg 3.15-3.33
Mg  0.1508  0.6346  0.2500 [4 per cell]  5 Tl 2.93-3.11
Mg  0.3728  0.0547  0.2500 [4 per cell]  9 Tl 3.05-3.37
Tl  0.0877  0.5462  0.7500 [4 per cell]  7 Mg 2.93-3.20
Tl  0.3496  0.1078  0.7500 [4 per cell]  7 Mg 2.98-3.20, 2 Tl 3.33
Tl  0.3926  0.7500  0.0000 [4 per cell]  6 Mg 3.11-3.37, 4 Tl 3.15-3.33


(3)
DFT (PBEsol) results for crystalline Ca2V2PbO8 at its relaxed geometry.

Computed properties:
The crystal system is trigonal. The mass density comes out at 4.97 g cm⁻³. For the uncorrected formation energy, the calculation gives -2.505 eV per atom. As for the electronic total energy: -306.28 eV/cell.

a = 5.5776 Å, b = 5.5776 Å, c = 19.2275 Å
α = 90.00°, β = 90.00°, γ = 120.00°
With the nearest neighbours (Å) after each atom.
Space group R3m (No. 160, hexagonal axes)
Inequivalent atoms, fractional coordinates:
Ca  0.0000  0.0000  0.0000 [3 per cell]  4 O 2.27-2.45
Ca  0.0000  0.0000  0.1958 [3 per cell]  6 O 2.46-2.48
V  0.0000  0.0000  0.5996 [3 per cell]  4 O 1.67-1.72
V  0.0000  0.0000  0.7938 [3 per cell]  4 O 1.69-1.73
Pb  0.0000  0.0000  0.3919 [3 per cell]  4 O 2.33-2.47
O  0.0000  0.0000  0.5129 [3 per cell]  1 V 1.67
O  0.0000  0.0000  0.8817 [3 per cell]  1 V 1.69
O  0.0056  0.5028  0.9601 [9 per cell]  1 V 1.72
O  0.1683  0.3365  0.7634 [9 per cell]  1 V 1.73


(4)
DFT (PBEsol) results for crystalline LaMg2Se at its relaxed geometry.

Computed properties:
The crystal system is orthorhombic. The mass density comes out at 4.46 g cm⁻³. For the uncorrected formation energy, the calculation gives -0.670 eV per atom. As for the electronic total energy: -15.31 eV/cell.

a = 4.2049 Å, b = 4.3932 Å, c = 5.3661 Å
α = 90.00°, β = 90.00°, γ = 90.00°
With the nearest neighbours (Å) after each atom.
Space group Pmmm (No. 47)
Inequivalent atoms, fractional coordinates:
La  0.0000  0.0000  0.0000 [1 per cell]  4 Se 3.04
Mg  0.0000  0.5000  0.5000 [1 per cell]  4 Mg 3.04
Mg  0.5000  0.0000  0.5000 [1 per cell]  4 Mg 3.04
Se  0.5000  0.5000  0.0000 [1 per cell]  4 La 3.04


(5)
DFT (PBEsol) results for crystalline CeCo5 at its relaxed geometry.

Computed properties:
The crystal system is hexagonal. The mass density comes out at 9.19 g cm⁻³. Its calculated formation energy is -0.08 eV/atom. As for the electronic total energy: -45.77 eV/cell.

a = 4.7827 Å, b = 4.7827 Å, c = 3.9649 Å
α = 90.00°, β = 90.00°, γ = 120.00°
With the nearest neighbours (Å) after each atom.
Space group P6/mmm (No. 191)
Inequivalent atoms, fractional coordinates:
Ce  0.0000  0.0000  0.0000 [1 per cell]  6 Co 2.76
Co  0.0000  0.5000  0.5000 [3 per cell]  8 Co 2.39-2.42
Co  0.3333  0.6667  0.0000 [2 per cell]  6 Co 2.42


(6)
DFT (PBEsol) results for crystalline Cu3TePbO8 at its relaxed geometry.

Computed properties:
The crystal system is orthorhombic. The mass density comes out at 6.40 g cm⁻³. For the uncorrected formation energy, the calculation gives -0.674 eV per atom. As for the electronic total energy: -570.25 eV/cell.

a = 5.6654 Å, b = 9.6737 Å, c = 24.7636 Å
α = 90.00°, β = 90.00°, γ = 90.00°
With the nearest neighbours (Å) after each atom.
Space group Fdd2 (No. 43)
Inequivalent atoms, fractional coordinates:
Cu  0.0000  0.0000  0.0000 [8 per cell]  4 O 1.89
Cu  0.0000  0.0000  0.1900 [8 per cell]  4 O 1.87-1.95
Cu  0.0000  0.0000  0.4410 [8 per cell]  4 O 1.84-1.93
Te  0.0000  0.0000  0.7484 [8 per cell]  6 O 1.91-2.05
Pb  0.0000  0.0000  0.6014 [8 per cell]  4 O 2.40-2.66
O  0.0630  0.1457  0.4920 [16 per cell]  2 Cu 1.93-1.95, 1 Te 2.05
O  0.0802  0.1366  0.3928 [16 per cell]  2 Cu 1.84-1.87
O  0.1087  0.3698  0.3006 [16 per cell]  1 Cu 1.89, 1 Te 1.91
O  0.1204  0.1209  0.9465 [16 per cell]  1 Cu 1.89, 1 Te 1.94


(7)
DFT (PBEsol) results for crystalline Li2MnGeO4 at its relaxed geometry.

Computed properties:
The crystal system is orthorhombic. The mass density comes out at 3.87 g cm⁻³. For the uncorrected formation energy, the calculation gives -1.818 eV per atom. As for the electronic total energy: -108.35 eV/cell.

a = 6.4102 Å, b = 5.4507 Å, c = 5.0517 Å
α = 90.00°, β = 90.00°, γ = 90.00°
With the nearest neighbours (Å) after each atom.
Space group Pmn2_1 (No. 31)
Inequivalent atoms, fractional coordinates:
Li  0.2496  0.1688  0.0000 [4 per cell]  4 O 1.95-1.99
Mn  0.0000  0.3238  0.5015 [2 per cell]  4 O 2.02-2.05
Ge  0.0000  0.6744  0.9940 [2 per cell]  4 O 1.77-1.78
O  0.0000  0.3638  0.1002 [2 per cell]  1 Ge 1.78, 2 Li 1.99
O  0.0000  0.6762  0.6434 [2 per cell]  1 Ge 1.77, 2 Li 1.95
O  0.2254  0.8269  0.1115 [4 per cell]  1 Ge 1.77, 2 Li 1.95-1.97


(8)
DFT (PBEsol) results for crystalline La2MgAl at its relaxed geometry.

Computed properties:
The crystal system is orthorhombic. The mass density comes out at 4.93 g cm⁻³. Its calculated formation energy is -0.21 eV/atom. As for the electronic total energy: -17.35 eV/cell.

a = 3.5038 Å, b = 4.4065 Å, c = 7.1840 Å
α = 90.00°, β = 90.00°, γ = 90.00°
With the nearest neighbours (Å) after each atom.
Space group Pmmm (No. 47)
Inequivalent atoms, fractional coordinates:
La  0.0000  0.0000  0.2261 [2 per cell]  3 La 3.25-3.50, 4 Al 3.25, 4 Mg 3.43
Mg  0.5000  0.5000  0.5000 [1 per cell]  8 La 3.43, 2 Mg 3.50, 2 Al 3.59
Al  0.5000  0.5000  0.0000 [1 per cell]  8 La 3.25, 2 Al 3.50, 2 Mg 3.59


(9)
DFT (PBEsol) results for crystalline VP2O7 at its relaxed geometry.

Computed properties:
The crystal system is triclinic. The mass density comes out at 3.06 g cm⁻³. For the uncorrected formation energy, the calculation gives -2.144 eV per atom. The energy above the lowest structure with this stoichiometry comes out at 82 meV per atom. As for the electronic total energy: -158.80 eV/cell.

a = 6.2926 Å, b = 6.3186 Å, c = 6.9046 Å
α = 92.85°, β = 117.04°, γ = 90.63°
With the nearest neighbours (Å) after each atom.
Space group P-1 (No. 2)
Inequivalent atoms, fractional coordinates:
V  0.0951  0.3510  0.2026 [2 per cell]  5 O 1.83-2.00
P  0.2245  0.8587  0.2797 [2 per cell]  4 O 1.46-1.61
P  0.3210  0.6301  0.6570 [2 per cell]  4 O 1.52-1.59
O  0.0566  0.6645  0.1233 [2 per cell]  1 P 1.61
O  0.0800  0.0631  0.2121 [2 per cell]  1 P 1.55
O  0.2126  0.8219  0.5040 [2 per cell]  2 P 1.59-1.61
O  0.2191  0.6360  0.8181 [2 per cell]  1 P 1.52
O  0.2237  0.4349  0.4937 [2 per cell]  1 P 1.54
O  0.4081  0.3537  0.2235 [2 per cell]  1 P 1.52
O  0.4630  0.8610  0.2918 [2 per cell]  1 P 1.46


(10)
DFT (PBEsol) results for crystalline CsPrS2 at its relaxed geometry.

Computed properties:
The crystal system is trigonal. The mass density comes out at 4.58 g cm⁻³. For the uncorrected formation energy, the calculation gives -1.826 eV per atom. The energy above the lowest structure with this stoichiometry comes out at 3 meV per atom. As for the electronic total energy: -66.60 eV/cell.

a = 4.2123 Å, b = 4.2123 Å, c = 23.9099 Å
α = 90.00°, β = 90.00°, γ = 120.00°
With the nearest neighbours (Å) after each atom.
Space group R-3m (No. 166, hexagonal axes)
Inequivalent atoms, fractional coordinates:
Cs  0.0000  0.0000  0.0000 [3 per cell]  6 S 3.47
Pr  0.0000  0.0000  0.5000 [3 per cell]  6 S 2.86
S  0.0000  0.0000  0.2300 [6 per cell]  3 Pr 2.86


Q: Which formula does entry 3 have?
A: Ca2V2PbO8


Q: The lowest electronic total energy belongs to which entry?
A: Cu3TePbO8


Q: electronic total energy of number 4 (LaMg2Se)?
A: -15.31 eV/cell